# GGA-PBE Pm2UP3, relaxed
# Crystal system: tetragonal
# Formation energy: -130 kJ/mol of atoms
# D(E_F): 12.5 states/eV per cell
# Total DFT energy (no corrections): -7.521 eV per atom
# Mass density: 7.25 g cm⁻³
data_Pm2UP3
_cell_length_a 4.0664
_cell_length_b 4.0664
_cell_length_c 17.2025
_cell_angle_alpha 90.00
_cell_angle_beta 90.00
_cell_angle_gamma 90.00
_space_group_name_H-M_alt 'I 4/m m m'
_space_group_IT_number 139
_space_group_name_Hall '-I 4 2'
loop_
_atom_site_label
_atom_site_type_symbol
_atom_site_fract_x
_atom_site_fract_y
_atom_site_fract_z
Pm1 Pm 0.0000 0.0000 0.1676
U1 U 0.0000 0.0000 0.5000
P1 P 0.0000 0.0000 0.0000
P2 P 0.0000 0.0000 0.3385

# GGA-PBE Dy2YAg, relaxed
# Crystal system: tetragonal
# Formation energy: 1 kJ/mol of atoms
# D(E_F): 5.1 states/eV per cell
# Total DFT energy (no corrections): -4.618 eV per atom
# Offset from the most stable computed form: 0.57 eV per formula unit
# Mass density: 7.85 g cm⁻³
data_Dy2YAg
_cell_length_a 5.4264
_cell_length_b 5.4264
_cell_length_c 3.7479
_cell_angle_alpha 90.00
_cell_angle_beta 90.00
_cell_angle_gamma 90.00
_space_group_name_H-M_alt 'P 4/m m m'
_space_group_IT_number 123
_space_group_name_Hall '-P 4 2'
loop_
_atom_site_label
_atom_site_type_symbol
_atom_site_fract_x
_atom_site_fract_y
_atom_site_fract_z
Dy1 Dy 0.0000 0.5000 0.0000
Y1 Y 0.0000 0.0000 0.5000
Ag1 Ag 0.5000 0.5000 0.5000

# GGA-PBE KTcPd, relaxed
# Crystal system: triclinic
# Formation energy: 45 kJ/mol of atoms
# D(E_F): 3.3 states/eV per cell
# Total DFT energy (no corrections): -5.088 eV per atom
# Offset from the most stable computed form: 0.66 eV per formula unit
# Mass density: 5.68 g cm⁻³
data_KTcPd
_cell_length_a 3.1646
_cell_length_b 5.7200
_cell_length_c 8.6000
_cell_angle_alpha 72.71
_cell_angle_beta 89.87
_cell_angle_gamma 74.01
_space_group_name_H-M_alt 'P 1'
_space_group_IT_number 1
_space_group_name_Hall 'P 1'
loop_
_atom_site_label
_atom_site_type_symbol
_atom_site_fract_x
_atom_site_fract_y
_atom_site_fract_z
K1 K 0.0000 0.0000 0.0000
K2 K 0.3016 0.3690 0.2624
Tc1 Tc 0.0435 0.9097 0.6199
Tc2 Tc 0.6824 0.6294 0.7627
Pd1 Pd 0.3447 0.3107 0.6427
Pd2 Pd 0.6159 0.7662 0.4132

# GGA-PBE Mg2TcAg, relaxed
# Crystal system: orthorhombic
# Formation energy: 13 kJ/mol of atoms
# D(E_F): 6.9 states/eV per cell
# Total DFT energy (no corrections): -3.969 eV per atom
# Offset from the most stable computed form: 0.19 eV per formula unit
# Mass density: 6.16 g cm⁻³
data_Mg2TcAg
_cell_length_a 6.0006
_cell_length_b 8.1773
_cell_length_c 2.7940
_cell_angle_alpha 90.00
_cell_angle_beta 90.00
_cell_angle_gamma 90.00
_space_group_name_H-M_alt 'C m m m'
_space_group_IT_number 65
_space_group_name_Hall '-C 2 2'
loop_
_atom_site_label
_atom_site_type_symbol
_atom_site_fract_x
_atom_site_fract_y
_atom_site_fract_z
Mg1 Mg 0.2500 0.2500 0.0000
Tc1 Tc 0.0000 0.0000 0.5000
Ag1 Ag 0.0000 0.5000 0.5000

# GGA-PBE MgTi2Co2, relaxed
# Crystal system: tetragonal
# Formation energy: -13 kJ/mol of atoms
# D(E_F): 9.8 states/eV per cell
# Total DFT energy (no corrections): -6.452 eV per atom
# Mass density: 5.42 g cm⁻³
data_MgTi2Co2
_cell_length_a 7.2599
_cell_length_b 7.2599
_cell_length_c 2.7646
_cell_angle_alpha 90.00
_cell_angle_beta 90.00
_cell_angle_gamma 90.00
_space_group_name_H-M_alt 'P 4/m b m'
_space_group_IT_number 127
_space_group_name_Hall '-P 4 2ab'
loop_
_atom_site_label
_atom_site_type_symbol
_atom_site_fract_x
_atom_site_fract_y
_atom_site_fract_z
Mg1 Mg 0.0000 0.0000 0.0000
Ti1 Ti 0.1448 0.3552 0.0000
Co1 Co 0.1478 0.6478 0.5000

# GGA-PBE Ce11Ga9Ni4, relaxed
# Crystal system: orthorhombic
# Formation energy: -50 kJ/mol of atoms
# D(E_F): 77.6 states/eV per cell
# Total DFT energy (no corrections): -5.340 eV per atom
# Mass density: 7.72 g cm⁻³
data_Ce11Ga9Ni4
_cell_length_a 13.8267
_cell_length_b 20.6563
_cell_length_c 3.6210
_cell_angle_alpha 90.00
_cell_angle_beta 90.00
_cell_angle_gamma 90.00
_space_group_name_H-M_alt 'C m m m'
_space_group_IT_number 65
_space_group_name_Hall '-C 2 2'
loop_
_atom_site_label
_atom_site_type_symbol
_atom_site_fract_x
_atom_site_fract_y
_atom_site_fract_z
Ce1 Ce 0.0000 0.0000 0.0000
Ce2 Ce 0.0000 0.1576 0.0000
Ce3 Ce 0.0000 0.3739 0.0000
Ce4 Ce 0.1908 0.5000 0.0000
Ce5 Ce 0.2364 0.1803 0.0000
Ga1 Ga 0.0000 0.5000 0.5000
Ga2 Ga 0.0986 0.2685 0.5000
Ga3 Ga 0.1530 0.0714 0.5000
Ni1 Ni 0.1544 0.3982 0.5000